First-principles (GGA-PBE) data for a relaxed structure of CaPd3Rh, as listed in the Alexandria database.

Cell lengths 4.7942, 4.7942, 4.7942 Å; angles 90.00, 90.00, 90.00 degrees
Last column: nearest neighbours and their distance in Å.
Element x y z (fractional)
Ca  0.0000  0.0000  0.0000  6 Pd 2.40
Pd  0.0000  0.0000  0.5000  2 Ca 2.40
Pd  0.0000  0.5000  0.0000  2 Ca 2.40
Pd  0.5000  0.0000  0.0000  2 Ca 2.40
Rh  0.5000  0.5000  0.5000  12 Pd 3.39

Values from the calculation:
Density of states at the Fermi level in states/eV/atom: 1.144
Final energy in eV per cell: -19.3
ΔH_f (0 K) in meV per atom: 1136.0
Energy relative to the lowest polymorph listed for this composition in eV/atom: 0.771